[1]
{
  "formula": "BaTaSb",
  "functional": "meta-GGA SCAN",
  "state": "single point on PBEsol structure",
  "crystal_system": "tetragonal",
  "rho_g_cm3": 8.573,
  "formation_energy_uncorrected_ev_per_atom": 0.201,
  "dos_at_fermi_per_ev_atom": 0.868,
  "dft_energy_ev_per_atom": -47.597,
  "lattice": [[3.7202, 0.0000, 0.0000], [0.0000, 3.7202, 0.0000], [-1.8601, -1.8601, 6.1583]],
  "species": ["Ba", "Ta", "Sb"],
  "frac_coords": [[0.9956, 0.9956, 0.9912], [0.2901, 0.2901, 0.5803], [0.7143, 0.7143, 0.4286]]
}

***

[2]
{
  "formula": "AlAg9S6",
  "functional": "meta-GGA SCAN",
  "state": "single point on PBEsol structure",
  "crystal_system": "triclinic",
  "rho_g_cm3": 6.644,
  "formation_energy_uncorrected_ev_per_atom": -0.291,
  "dft_energy_ev_per_atom": -22.030,
  "lattice": [[7.4531, -0.0058, 0.0950], [3.6498, 6.4415, 0.1940], [3.6097, 2.0949, 6.2872]],
  "species": ["Ag", "Ag", "Ag", "Ag", "Ag", "S", "S", "Al", "S", "S", "Ag", "Ag", "Ag", "S", "Ag", "S"],
  "frac_coords": [[0.0211, 0.4353, 0.0438], [0.5123, 0.0035, 0.4952], [0.6693, 0.3144, 0.0775], [0.2679, 0.6670, 0.0460], [0.0543, 0.0244, 0.6231], [0.6155, 0.6341, 0.1816], [0.2816, 0.2601, 0.2582], [0.5007, 0.4965, 0.5460], [0.1354, 0.6301, 0.6424], [0.6099, 0.6037, 0.6966], [0.8125, 0.8624, 0.1024], [0.9740, 0.9528, 0.3366], [0.0045, 0.4914, 0.4880], [0.6517, 0.1283, 0.6452], [0.3878, 0.0329, 0.0232], [0.0582, 0.0751, 0.9365]]
}